1.
Crystalline CaPCO2 at its relaxed geometry, computed with GGA-PBE.

a b c (Å): 4.0836 4.0836 6.7255
angles (deg): 90.00 90.00 90.00
With the nearest neighbours (Å) after each atom.
Fractional coordinates of all 5 atoms:
1 P 0.0000 0.0000 0.5000  4 C 2.89
2 Ca 0.0000 0.0000 0.0000  4 O 2.04
3 C 0.5000 0.5000 0.5000  4 P 2.89
4 O 0.0000 0.5000 0.0000  2 Ca 2.04
5 O 0.5000 0.0000 0.0000  2 Ca 2.04

Summary:
DFT total energy (eV per atom): -3.95
Formation energy (no corrections) (meV/atom): 1364
Distance to the lowest polymorph of the same formula (kcal/mol of atoms): 28.96

---

2.
Crystalline CaP2CO at its relaxed geometry, computed with GGA-PBE.

a b c (Å): 5.3459 5.3459 4.1435
angles (deg): 90.00 90.00 90.00
With the nearest neighbours (Å) after each atom.
Fractional coordinates of all 5 atoms:
1 P 0.0000 0.5000 0.0000  2 Ca 2.67
2 P 0.5000 0.0000 0.0000  2 Ca 2.67
3 Ca 0.0000 0.0000 0.0000  2 O 2.07
4 C 0.5000 0.5000 0.5000  8 P 3.38, 4 O 3.78
5 O 0.0000 0.0000 0.5000  2 Ca 2.07

Summary:
DFT total energy (eV per atom): -3.45
Formation energy (no corrections) (meV/atom): 1952
Distance to the lowest polymorph of the same formula (kcal/mol of atoms): 40.18

---

3.
Crystalline CaP2CO at its relaxed geometry, computed with GGA-PBE.

a b c (Å): 3.6855 3.6855 6.0370
angles (deg): 90.00 90.00 90.00
With the nearest neighbours (Å) after each atom.
Fractional coordinates of all 5 atoms:
1 P 0.0000 0.5000 0.0000  2 C 1.84
2 P 0.5000 0.0000 0.0000  2 C 1.84
3 Ca 0.5000 0.5000 0.5000  4 O 2.61
4 C 0.0000 0.0000 0.0000  4 P 1.84
5 O 0.0000 0.0000 0.5000  4 Ca 2.61

Summary:
DFT total energy (eV per atom): -5.19
Formation energy (no corrections) (meV/atom): 209
Distance to the lowest polymorph of the same formula (kcal/mol of atoms): 0.00

---

4.
Crystalline CaPCO2 at its relaxed geometry, computed with GGA-PBE.

a b c (Å): 4.2016 4.2016 3.4729
angles (deg): 90.00 90.00 90.00
With the nearest neighbours (Å) after each atom.
Fractional coordinates of all 5 atoms:
1 P 0.0000 0.0000 0.5000  2 C 1.74
2 Ca 0.5000 0.5000 0.5000  8 O 2.73, 4 P 2.97
3 C 0.0000 0.0000 0.0000  2 P 1.74
4 O 0.0000 0.5000 0.0000  2 C 2.10
5 O 0.5000 0.0000 0.0000  2 C 2.10

Summary:
DFT total energy (eV per atom): -5.20
Formation energy (no corrections) (meV/atom): 108
Distance to the lowest polymorph of the same formula (kcal/mol of atoms): 0.00

---

5.
Crystalline CaPbC2O6 at its relaxed geometry, computed with GGA-PBE.

a b c (Å): 5.2017 5.2017 6.6555
angles (deg): 67.00 67.00 60.00
With the nearest neighbours (Å) after each atom.
Fractional coordinates of all 10 atoms:
1 Ca 0.5000 0.5000 0.5000  6 O 2.36
2 Pb 0.0000 0.0000 0.0000  6 O 2.61
3 C 0.7534 0.7534 0.7397  3 O 1.30
4 C 0.2466 0.2466 0.2603  3 O 1.30
5 O 0.0183 0.5220 0.7408  1 C 1.30
6 O 0.7189 0.0183 0.7408  1 C 1.30
7 O 0.4780 0.2811 0.2592  1 C 1.30
8 O 0.9817 0.4780 0.2592  1 C 1.30
9 O 0.2811 0.9817 0.2592  1 C 1.30
10 O 0.5220 0.7189 0.7408  1 C 1.30

Summary:
DFT total energy (eV per atom): -7.22
Formation energy (no corrections) (meV/atom): -1829

---

6.
Crystalline CaPdCO5 at its relaxed geometry, computed with GGA-PBE.

a b c (Å): 5.3543 5.3543 6.8642
angles (deg): 103.95 103.95 106.59
With the nearest neighbours (Å) after each atom.
Fractional coordinates of all 16 atoms:
1 Ca 0.3548 0.6452 0.2500  5 O 2.20-2.38
2 Ca 0.6452 0.3548 0.7500  5 O 2.20-2.38
3 Pd 0.0000 0.0000 0.5000  4 O 1.92-2.14
4 Pd 0.0000 0.0000 0.0000  4 O 1.92-2.14
5 C 0.6920 0.3080 0.2500  4 O 1.40-1.44
6 C 0.3080 0.6920 0.7500  4 O 1.40-1.44
7 O 0.0991 0.9009 0.2500  2 Pd 1.92
8 O 0.9009 0.0991 0.7500  2 Pd 1.92
9 O 0.8927 0.3336 0.1506  1 C 1.40
10 O 0.1073 0.6664 0.8494  1 C 1.40
11 O 0.6664 0.1073 0.3494  1 C 1.40
12 O 0.3336 0.8927 0.6506  1 C 1.40
13 O 0.7463 0.5624 0.4134  1 C 1.44
14 O 0.2537 0.4376 0.5866  1 C 1.44
15 O 0.4376 0.2537 0.0866  1 C 1.44
16 O 0.5624 0.7463 0.9134  1 C 1.44

Summary:
DFT total energy (eV per atom): -6.42
Formation energy (no corrections) (meV/atom): -1266

---

7.
Crystalline CaPmC2O6 at its relaxed geometry, computed with GGA-PBE.

a b c (Å): 6.4580 6.4580 6.3591
angles (deg): 99.70 99.70 98.12
With the nearest neighbours (Å) after each atom.
Fractional coordinates of all 20 atoms:
1 Ca 0.1685 0.8315 0.2500  6 O 2.30-2.43
2 Ca 0.8315 0.1685 0.7500  6 O 2.30-2.43
3 Pm 0.5896 0.4104 0.2500  8 O 2.44-2.67
4 Pm 0.4104 0.5896 0.7500  8 O 2.44-2.67
5 C 0.3366 0.1235 0.7261  3 O 1.29-1.33
6 C 0.8765 0.6634 0.7739  3 O 1.29-1.33
7 C 0.6634 0.8765 0.2739  3 O 1.29-1.33
8 C 0.1235 0.3366 0.2261  3 O 1.29-1.33
9 O 0.9296 0.3358 0.1330  1 C 1.29
10 O 0.6642 0.0704 0.3670  1 C 1.29
11 O 0.0704 0.6642 0.8670  1 C 1.29
12 O 0.3358 0.9296 0.6330  1 C 1.29
13 O 0.2188 0.1740 0.1875  1 C 1.30
14 O 0.8260 0.7812 0.3125  1 C 1.30
15 O 0.7812 0.8260 0.8125  1 C 1.30
16 O 0.1740 0.2188 0.6875  1 C 1.30
17 O 0.2322 0.5071 0.3690  1 C 1.33
18 O 0.4929 0.7678 0.1310  1 C 1.33
19 O 0.7678 0.4929 0.6310  1 C 1.33
20 O 0.5071 0.2322 0.8690  1 C 1.33

Summary:
DFT total energy (eV per atom): -7.59
Formation energy (no corrections) (meV/atom): -2093

---

8.
Crystalline CaPtCO5 at its relaxed geometry, computed with GGA-PBE.

a b c (Å): 5.3439 5.3439 6.9697
angles (deg): 104.84 104.84 106.35
With the nearest neighbours (Å) after each atom.
Fractional coordinates of all 16 atoms:
1 Ca 0.3551 0.6449 0.2500  5 O 2.16-2.37
2 Ca 0.6449 0.3551 0.7500  5 O 2.16-2.37
3 Pt 0.0000 0.0000 0.5000  6 O 1.95-2.15
4 Pt 0.0000 0.0000 0.0000  6 O 1.95-2.15
5 C 0.6942 0.3058 0.2500  4 O 1.40-1.45
6 C 0.3058 0.6942 0.7500  4 O 1.40-1.45
7 O 0.1021 0.8979 0.2500  2 Pt 1.95, 1 Ca 2.16
8 O 0.8979 0.1021 0.7500  2 Pt 1.95, 1 Ca 2.16
9 O 0.8925 0.3297 0.1514  1 C 1.40
10 O 0.1075 0.6703 0.8486  1 C 1.40
11 O 0.6703 0.1075 0.3486  1 C 1.40
12 O 0.3297 0.8925 0.6514  1 C 1.40
13 O 0.7510 0.5674 0.4136  1 C 1.45
14 O 0.2490 0.4326 0.5864  1 C 1.45
15 O 0.4326 0.2490 0.0864  1 C 1.45
16 O 0.5674 0.7510 0.9136  1 C 1.45

Summary:
DFT total energy (eV per atom): -6.55
Formation energy (no corrections) (meV/atom): -1294

---

9.
Crystalline Rb3CaC2O6 at its relaxed geometry, computed with GGA-PBE.

a b c (Å): 5.6163 5.6163 9.9374
angles (deg): 90.00 90.00 120.00
With the nearest neighbours (Å) after each atom.
Fractional coordinates of all 12 atoms:
1 Rb 0.3333 0.6667 0.7065  6 O 2.91
2 Rb 0.6667 0.3333 0.2935  6 O 2.91
3 Rb 0.0000 0.0000 0.0000  6 O 4.10, 6 Rb 4.36
4 Ca 0.0000 0.0000 0.5000  6 O 2.36
5 C 0.6667 0.3333 0.6352  3 O 1.30
6 C 0.3333 0.6667 0.3648  3 O 1.30
7 O 0.6013 0.8007 0.3640  1 C 1.30
8 O 0.1993 0.3987 0.3640  1 C 1.30
9 O 0.1993 0.8007 0.3640  1 C 1.30
10 O 0.8007 0.6013 0.6360  1 C 1.30
11 O 0.3987 0.1993 0.6360  1 C 1.30
12 O 0.8007 0.1993 0.6360  1 C 1.30

Summary:
DFT total energy (eV per atom): -6.21
Formation energy (no corrections) (meV/atom): -1784

---

10.
Crystalline CaRhCO2 at its relaxed geometry, computed with GGA-PBE.

a b c (Å): 3.8352 4.3525 3.8352
angles (deg): 90.00 90.00 90.00
With the nearest neighbours (Å) after each atom.
Fractional coordinates of all 5 atoms:
1 Ca 0.0000 0.5000 0.0000  2 C 2.18
2 Rh 0.5000 0.5000 0.5000  4 Ca 2.71, 8 O 2.90
3 C 0.0000 0.0000 0.0000  4 O 1.92
4 O 0.0000 0.0000 0.5000  2 C 1.92
5 O 0.5000 0.0000 0.0000  2 C 1.92

Summary:
DFT total energy (eV per atom): -4.60
Formation energy (no corrections) (meV/atom): 1100

---

11.
Crystalline CaSnC2O6 at its relaxed geometry, computed with GGA-PBE.

a b c (Å): 5.1591 5.1591 6.6169
angles (deg): 67.06 67.06 60.00
With the nearest neighbours (Å) after each atom.
Fractional coordinates of all 10 atoms:
1 Ca 0.5000 0.5000 0.5000  6 O 2.37
2 Sn 0.0000 0.0000 0.0000  6 O 2.55
3 C 0.7530 0.7530 0.7411  3 O 1.30
4 C 0.2470 0.2470 0.2589  3 O 1.30
5 O 0.0158 0.5134 0.7419  1 C 1.30
6 O 0.7289 0.0158 0.7419  1 C 1.30
7 O 0.4866 0.2711 0.2581  1 C 1.30
8 O 0.9842 0.4866 0.2581  1 C 1.30
9 O 0.2711 0.9842 0.2581  1 C 1.30
10 O 0.5134 0.7289 0.7419  1 C 1.30

Summary:
DFT total energy (eV per atom): -7.20
Formation energy (no corrections) (meV/atom): -1778

---

12.
Crystalline CaSnCO5 at its relaxed geometry, computed with GGA-PBE.

a b c (Å): 5.4031 5.4031 7.0110
angles (deg): 103.86 103.86 105.31
With the nearest neighbours (Å) after each atom.
Fractional coordinates of all 16 atoms:
1 Ca 0.3510 0.6490 0.2500  3 O 2.19-2.32
2 Ca 0.6490 0.3510 0.7500  3 O 2.19-2.32
3 Sn 0.0000 0.0000 0.5000  4 O 1.94-2.16
4 Sn 0.0000 0.0000 0.0000  4 O 1.94-2.16
5 C 0.6844 0.3156 0.2500  4 O 1.43
6 C 0.3156 0.6844 0.7500  4 O 1.43
7 O 0.0961 0.9039 0.2500  2 Sn 1.94
8 O 0.9039 0.0961 0.7500  2 Sn 1.94
9 O 0.8844 0.3299 0.1478  1 C 1.43
10 O 0.1156 0.6701 0.8522  1 C 1.43
11 O 0.6701 0.1156 0.3522  1 C 1.43
12 O 0.3299 0.8844 0.6478  1 C 1.43
13 O 0.7397 0.5694 0.4037  1 C 1.43
14 O 0.2603 0.4306 0.5963  1 C 1.43
15 O 0.4306 0.2603 0.0963  1 C 1.43
16 O 0.5694 0.7397 0.9037  1 C 1.43

Summary:
DFT total energy (eV per atom): -6.74
Formation energy (no corrections) (meV/atom): -1740